# RbTbGaS4 GGA-PBE relaxed
data_RbTbGaS4
_cell_length_a 6.9138
_cell_length_b 5.7061
_cell_length_c 9.5358
_cell_angle_alpha 90.00
_cell_angle_beta 105.65
_cell_angle_gamma 90.00
_symmetry_space_group_name_H-M 'P 1'
_symmetry_Int_Tables_number 1
loop_
_symmetry_equiv_pos_as_xyz
'x,y,z'
loop_
_atom_site_label
_atom_site_type_symbol
_atom_site_fract_x
_atom_site_fract_y
_atom_site_fract_z
Rb1 Rb 0.7444 0.7500 0.9573
Rb2 Rb 0.2556 0.2500 0.0427
Tb1 Tb 0.7460 0.7500 0.4429
Tb2 Tb 0.2540 0.2500 0.5571
Ga1 Ga 0.2543 0.7500 0.3296
Ga2 Ga 0.7457 0.2500 0.6704
S1 S 0.0073 0.5170 0.7004
S2 S 0.9927 0.0170 0.2997
S3 S 0.9927 0.4830 0.2997
S4 S 0.0073 0.9830 0.7004
S5 S 0.4508 0.7500 0.1808
S6 S 0.5492 0.2500 0.8192
S7 S 0.4177 0.7500 0.5699
S8 S 0.5823 0.2500 0.4301
# formation energy (no corrections)	-8.659	eV per formula unit
# space-group type	P2_1/m, No. 11
# ρ	4.06	Mg/m³